# 1
DFT (PBE) results for crystalline Ti2TlC at its relaxed geometry.

Calculated total energy = -23.3 eV per cell

Lattice parameters (Å, degrees): 4.4545 4.4545 4.4545 60.00 60.00 60.00
Atoms (fractional coordinates):
C: 0.0000 0.0000 0.0000
Ti: 0.2500 0.2500 0.2500
Ti: 0.7500 0.7500 0.7500
Tl: 0.5000 0.5000 0.5000

=====

# 2
DFT (PBE) results for crystalline Tl2ZnOs at its relaxed geometry.

Calculated total energy = -14.2 eV per cell
Relative energy among the computed polymorphs = 0.231 eV/atom

Lattice parameters (Å, degrees): 5.3457 5.3457 5.3457 134.51 134.51 66.29
Atoms (fractional coordinates):
Zn: 0.5000 0.5000 0.0000
Tl: 0.0000 0.0000 0.0000
Tl: 0.2500 0.7500 0.5000
Os: 0.7500 0.2500 0.5000

=====

Table of ΔH_f (0 K) (eV/atom), in record order: 1.009 0.763